# 1
DyNp3As4: relaxed, PBE.

Calculated values
Energy relative to the elements ... -0.90 eV/atom
Magnetic moment ... 11.757 μB per cell
SG ... Pm-3m (221)

POSCAR file:
```
DyNp3As4
1.0
5.812 0.000 0.000
0.000 5.812 0.000
0.000 0.000 5.812
Dy Np As
1 3 4
direct
0.000 0.000 0.000
0.000 0.500 0.500
0.500 0.000 0.500
0.500 0.500 0.000
0.000 0.000 0.500
0.000 0.500 0.000
0.500 0.000 0.000
0.500 0.500 0.500
```


# 2
PrSc2Sn2: relaxed, PBE.

Calculated values
Energy relative to the elements ... -0.46 eV/atom
Magnetic moment ... 0.007 μB per cell
SG ... P2_1/m (11)

POSCAR file:
```
PrSc2Sn2
1.0
5.353 0.000 0.000
0.000 4.110 0.000
-1.456 0.000 12.470
Pr Sc Sn
2 4 4
direct
0.191 0.250 0.251
0.809 0.750 0.749
0.250 0.750 0.480
0.324 0.250 0.891
0.676 0.750 0.109
0.750 0.250 0.520
0.175 0.750 0.042
0.287 0.250 0.657
0.713 0.750 0.343
0.825 0.250 0.958
```